The following is a PBE calculation of crystalline La6IrPd2I3 at its relaxed geometry, from Alexandria.

Properties
- Formation energy from raw total energies: -1.022 eV per atom
- DOS at the Fermi energy: 8.4 states/eV per cell
- M_tot: 0.00 μB/f.u.

Cell lengths 7.4663, 7.4663, 8.6241 Å; angles 98.29, 98.29, 120.02 degrees
Closest atoms and distances in Å follow each position.
Element x y z (fractional)
La  0.0631  0.3857  0.1889  1 Ir 2.87, 2 Pd 2.97
La  0.2592  0.2592  0.8108  1 Ir 2.87, 2 Pd 2.97
La  0.3857  0.0631  0.1889  1 Ir 2.87, 2 Pd 2.97
La  0.6143  0.9369  0.8111  1 Ir 2.87, 2 Pd 2.97
La  0.7408  0.7408  0.1892  1 Ir 2.87, 2 Pd 2.97
La  0.9369  0.6143  0.8111  1 Ir 2.87, 2 Pd 2.97
Ir  0.0000  0.0000  0.0000  6 La 2.87
Pd  0.3334  0.6666  0.0000  6 La 2.97
Pd  0.6666  0.3334  0.0000  6 La 2.97
I  0.1673  0.8327  0.5000  6 La 3.55-3.63
I  0.5000  0.5000  0.5000  6 La 3.55-3.63
I  0.8327  0.1673  0.5000  6 La 3.55-3.63